(1)
Below is a relaxed structure of TcOsRh2N, with properties calculated at the PBE-GGA level.

extended XYZ file:
```
5
Lattice="-4.118 -0.085 0.270 0.105 -3.904 0.368 0.261 0.393 4.101" Properties=species:S:1:pos:R:3 pbc="T T T"
Rh 0.130 0.197 2.050
Rh -2.059 -0.042 0.135
Os 0.052 -1.952 0.184
Tc -1.876 -1.797 2.369
N 0.000 0.000 0.000
```

Results
- space-group type = No. 123
- formation energy from raw total energies (meV/atom) = 537

---

(2)
Below is a relaxed structure of Rb2NaHgSb2, with properties calculated at the PBE-GGA level.

extended XYZ file:
```
12
Lattice="-2.238 4.607 5.182 -1.266 -5.699 4.520 9.584 1.098 -1.960" Properties=species:S:1:pos:R:3 pbc="T T T"
Rb 2.085 1.312 2.239
Rb 3.995 -1.306 5.503
Rb 5.772 -0.810 0.596
Rb 0.308 0.817 7.146
Na -0.950 -4.274 3.390
Na -0.317 -1.425 1.130
Hg -2.069 -1.970 5.981
Hg -1.436 0.879 3.721
Sb -0.065 3.444 4.324
Sb 0.303 -1.467 4.265
Sb 5.777 1.474 3.477
Sb 6.145 -3.437 3.418
```

Results
- space-group type = No. 72
- formation energy from raw total energies (meV/atom) = -325